Record 1
First-principles (meta-GGA SCAN) data for a crystal of MgCdPt2 relaxed with PBEsol, as listed in the Alexandria database.

Summary:
Energy relative to the elements in eV/atom: -0.51
E in Ry per atom: -3.2674

a b c (Å): 2.858 4.100 5.587
angles (deg): 90.00 90.00 90.00
Space group Pmm2 (No. 25)
Unique sites:
Mg (0.000, 0.000, 0.000) [1 per cell]
Cd (0.500, 0.500, 0.703) [1 per cell]
Pt (0.000, 0.000, 0.482) [1 per cell]
Pt (0.500, 0.500, 0.200) [1 per cell]

---

Record 2
First-principles (meta-GGA SCAN) data for a crystal of MgCdPt2 relaxed with PBEsol, as listed in the Alexandria database.

Summary:
Energy relative to the elements in eV/atom: -0.62
E in Ry per atom: -3.2756

a b c (Å): 2.939 4.631 4.768
angles (deg): 90.00 90.00 90.00
Space group Pmm2 (No. 25)
Unique sites:
Mg (0.000, 0.000, 0.000) [1 per cell]
Cd (0.000, 0.500, 0.401) [1 per cell]
Pt (0.500, 0.000, 0.512) [1 per cell]
Pt (0.500, 0.500, 0.900) [1 per cell]

---

Record 3
First-principles (meta-GGA SCAN) data for a crystal of MgCd2Re relaxed with PBEsol, as listed in the Alexandria database.

Summary:
Energy relative to the elements in eV/atom: 0.38
E in Ry per atom: -2.4872

a b c (Å): 9.746 2.829 5.196
angles (deg): 90.00 98.92 90.00
Space group Cm (No. 8)
Unique sites:
Mg (0.000, 0.000, 0.000) [2 per cell]
Cd (0.010, 0.500, 0.531) [2 per cell]
Cd (0.256, 0.500, 0.272) [2 per cell]
Re (0.257, 0.000, 0.779) [2 per cell]

---

Record 4
First-principles (meta-GGA SCAN) data for a crystal of MgCdRe2 relaxed with PBEsol, as listed in the Alexandria database.

Summary:
Energy relative to the elements in eV/atom: 1.11
E in Ry per atom: -3.1811

a b c (Å): 6.343 6.343 6.343
angles (deg): 90.00 90.00 90.00
Space group Fm-3m (No. 225)
Unique sites:
Mg (0.000, 0.000, 0.000) [4 per cell]
Cd (0.000, 0.000, 0.500) [4 per cell]
Re (0.250, 0.250, 0.250) [8 per cell]

---

Record 5
First-principles (meta-GGA SCAN) data for a crystal of MgCd2Re relaxed with PBEsol, as listed in the Alexandria database.

Summary:
Energy relative to the elements in eV/atom: 0.31
E in Ry per atom: -2.4927

a b c (Å): 3.291 4.554 9.546
angles (deg): 90.00 90.00 90.00
Space group Cmm2 (No. 35)
Unique sites:
Mg (0.000, 0.000, 0.000) [2 per cell]
Cd (0.000, 0.000, 0.532) [2 per cell]
Cd (0.000, 0.500, 0.261) [2 per cell]
Re (0.000, 0.500, 0.774) [2 per cell]

---

Record 6
First-principles (meta-GGA SCAN) data for a crystal of Mg2CdRh relaxed with PBEsol, as listed in the Alexandria database.

Summary:
Energy relative to the elements in eV/atom: -0.27
E in Ry per atom: -1.3823

a b c (Å): 3.292 3.292 6.571
angles (deg): 90.00 90.00 90.00
Space group P4mm (No. 99)
Unique sites:
Mg (0.000, 0.000, 0.000) [1 per cell]
Mg (0.500, 0.500, 0.295) [1 per cell]
Cd (0.500, 0.500, 0.727) [1 per cell]
Rh (0.000, 0.000, 0.486) [1 per cell]

---

Record 7
First-principles (meta-GGA SCAN) data for a crystal of Mg2CdRh relaxed with PBEsol, as listed in the Alexandria database.

Summary:
Energy relative to the elements in eV/atom: -0.43
E in Ry per atom: -1.3941

a b c (Å): 3.173 3.173 6.915
angles (deg): 90.00 90.00 90.00
Space group P4/mmm (No. 123)
Unique sites:
Mg (0.000, 0.000, 0.210) [2 per cell]
Cd (0.500, 0.500, 0.500) [1 per cell]
Rh (0.500, 0.500, 0.000) [1 per cell]

---

Record 8
First-principles (meta-GGA SCAN) data for a crystal of Mg2CdRh relaxed with PBEsol, as listed in the Alexandria database.

Summary:
Energy relative to the elements in eV/atom: -0.38
E in Ry per atom: -1.3899

a b c (Å): 3.345 4.448 9.255
angles (deg): 90.00 90.00 90.00
Space group Imm2 (No. 44)
Unique sites:
Mg (0.000, 0.000, 0.000) [2 per cell]
Mg (0.000, 0.500, 0.226) [2 per cell]
Cd (0.000, 0.000, 0.464) [2 per cell]
Rh (0.000, 0.500, 0.725) [2 per cell]

---

Record 9
First-principles (meta-GGA SCAN) data for a crystal of MgCd2Rh relaxed with PBEsol, as listed in the Alexandria database.

Summary:
Energy relative to the elements in eV/atom: -0.26
E in Ry per atom: -1.8484

a b c (Å): 5.692 5.701 8.500
angles (deg): 90.00 90.00 90.00
Space group F222 (No. 22)
Unique sites:
Mg (0.000, 0.000, 0.000) [4 per cell]
Cd (0.000, 0.000, 0.500) [4 per cell]
Cd (0.250, 0.250, 0.250) [4 per cell]
Rh (0.250, 0.250, 0.750) [4 per cell]

---

Record 10
First-principles (meta-GGA SCAN) data for a crystal of MgCdRh3 relaxed with PBEsol, as listed in the Alexandria database.

Summary:
Energy relative to the elements in eV/atom: 0.92
E in Ry per atom: -1.9421

a b c (Å): 4.457 4.457 4.457
angles (deg): 90.00 90.00 90.00
Space group Pm-3m (No. 221)
Unique sites:
Mg (0.000, 0.000, 0.000) [1 per cell]
Cd (0.500, 0.500, 0.500) [1 per cell]
Rh (0.000, 0.000, 0.500) [3 per cell]

---

Record 11
First-principles (meta-GGA SCAN) data for a crystal of MgCd2Rh relaxed with PBEsol, as listed in the Alexandria database.

Summary:
Energy relative to the elements in eV/atom: -0.25
E in Ry per atom: -1.8483

a b c (Å): 3.213 3.213 6.883
angles (deg): 90.00 90.00 90.00
Space group P4mm (No. 99)
Unique sites:
Mg (0.000, 0.000, 0.000) [1 per cell]
Cd (0.000, 0.000, 0.431) [1 per cell]
Cd (0.500, 0.500, 0.718) [1 per cell]
Rh (0.500, 0.500, 0.195) [1 per cell]

---

Record 12
First-principles (meta-GGA SCAN) data for a crystal of Mg2CdRh relaxed with PBEsol, as listed in the Alexandria database.

Summary:
Energy relative to the elements in eV/atom: -0.32
E in Ry per atom: -1.3857

a b c (Å): 6.497 6.497 6.497
angles (deg): 90.00 90.00 90.00
Space group F-43m (No. 216)
Unique sites:
Mg (0.000, 0.000, 0.000) [4 per cell]
Mg (0.250, 0.250, 0.250) [4 per cell]
Cd (0.250, 0.250, 0.750) [4 per cell]
Rh (0.000, 0.000, 0.500) [4 per cell]

---

Record 13
First-principles (meta-GGA SCAN) data for a crystal of Mg2CdRh relaxed with PBEsol, as listed in the Alexandria database.

Summary:
Energy relative to the elements in eV/atom: -0.37
E in Ry per atom: -1.3895

a b c (Å): 3.963 3.963 8.638
angles (deg): 90.00 90.00 90.00
Space group I-4m2 (No. 119)
Unique sites:
Mg (0.000, 0.000, 0.000) [2 per cell]
Mg (0.000, 0.500, 0.250) [2 per cell]
Cd (0.000, 0.500, 0.750) [2 per cell]
Rh (0.000, 0.000, 0.500) [2 per cell]

---

Record 14
First-principles (meta-GGA SCAN) data for a crystal of MgCd2Rh relaxed with PBEsol, as listed in the Alexandria database.

Summary:
Energy relative to the elements in eV/atom: -0.26
E in Ry per atom: -1.8487

a b c (Å): 4.088 4.088 4.119
angles (deg): 90.00 90.00 90.00
Space group P4/mmm (No. 123)
Unique sites:
Mg (0.000, 0.000, 0.000) [1 per cell]
Cd (0.000, 0.500, 0.500) [2 per cell]
Rh (0.500, 0.500, 0.000) [1 per cell]

---

Record 15
First-principles (meta-GGA SCAN) data for a crystal of MgCd2Rh2 relaxed with PBEsol, as listed in the Alexandria database.

Summary:
Energy relative to the elements in eV/atom: -0.22
Energy above the most stable polymorph in this dataset in eV/atom: 0.000
E in Ry per atom: -1.9764

a b c (Å): 6.730 6.730 3.876
angles (deg): 90.00 90.00 90.00
Space group P4/mbm (No. 127)
Unique sites:
Mg (0.000, 0.000, 0.000) [2 per cell]
Cd (0.162, 0.338, 0.500) [4 per cell]
Rh (0.136, 0.636, 0.000) [4 per cell]

---

Record 16
First-principles (meta-GGA SCAN) data for a crystal of MgCd2Rh2 relaxed with PBEsol, as listed in the Alexandria database.

Summary:
Energy relative to the elements in eV/atom: 0.20
Energy above the most stable polymorph in this dataset in eV/atom: 0.417
E in Ry per atom: -1.9457

a b c (Å): 3.771 3.771 13.139
angles (deg): 90.00 90.00 90.00
Space group I4/mmm (No. 139)
Unique sites:
Mg (0.000, 0.000, 0.000) [2 per cell]
Cd (0.000, 0.000, 0.396) [4 per cell]
Rh (0.000, 0.500, 0.250) [4 per cell]

---

Record 17
First-principles (meta-GGA SCAN) data for a crystal of MgCdRh relaxed with PBEsol, as listed in the Alexandria database.

Summary:
Energy relative to the elements in eV/atom: -0.36
E in Ry per atom: -1.7205

a b c (Å): 3.203 3.203 9.777
angles (deg): 90.00 90.00 90.00
Space group I4mm (No. 107)
Unique sites:
Mg (0.000, 0.000, 0.000) [2 per cell]
Cd (0.000, 0.000, 0.305) [2 per cell]
Rh (0.000, 0.000, 0.640) [2 per cell]

---

Record 18
First-principles (meta-GGA SCAN) data for a crystal of MgCd2Rh relaxed with PBEsol, as listed in the Alexandria database.

Summary:
Energy relative to the elements in eV/atom: -0.18
E in Ry per atom: -1.8428

a b c (Å): 3.074 3.952 5.795
angles (deg): 90.00 90.00 90.00
Space group Pmmm (No. 47)
Unique sites:
Mg (0.000, 0.000, 0.000) [1 per cell]
Cd (0.500, 0.500, 0.264) [2 per cell]
Rh (0.000, 0.000, 0.500) [1 per cell]

---

Record 19
First-principles (meta-GGA SCAN) data for a crystal of MgCd2Rh relaxed with PBEsol, as listed in the Alexandria database.

Summary:
Energy relative to the elements in eV/atom: -0.27
E in Ry per atom: -1.8497

a b c (Å): 4.003 4.003 8.591
angles (deg): 90.00 90.00 90.00
Space group I4/mmm (No. 139)
Unique sites:
Mg (0.000, 0.000, 0.000) [2 per cell]
Cd (0.000, 0.500, 0.250) [4 per cell]
Rh (0.000, 0.000, 0.500) [2 per cell]

---

Record 20
First-principles (meta-GGA SCAN) data for a crystal of MgCd2Rh relaxed with PBEsol, as listed in the Alexandria database.

Summary:
Energy relative to the elements in eV/atom: -0.22
E in Ry per atom: -1.8456

a b c (Å): 6.518 6.518 6.518
angles (deg): 90.00 90.00 90.00
Space group F-43m (No. 216)
Unique sites:
Mg (0.000, 0.000, 0.000) [4 per cell]
Cd (0.000, 0.000, 0.500) [4 per cell]
Cd (0.250, 0.250, 0.250) [4 per cell]
Rh (0.250, 0.250, 0.750) [4 per cell]